Entry from Alexandria: a geometry-optimized MoPOF2 structure (PBE with a Hubbard U).

Results
Total energy (eV per atom): -5.111

abc: 4.179 4.179 4.303
angles: 90.00 90.00 90.00
Site moments in Bohr magnetons follow the coordinates.
Sites, in units of the cell vectors:
F: 0.500 0.000 0.000  0.02
O: 0.000 0.000 0.500  -0.06
F: 0.000 0.500 0.000  0.02
Mo: 0.000 0.000 0.000  -2.72
P: 0.500 0.500 0.500  0.86